# 1
Computed, not measured: a relaxed structure of Rb3Pu2HgS6 at the GGA-PBE level of DFT.

Cell: 6.974 12.848 7.896 Å, 90.00 105.55 90.00°
Space group C2/m (No. 12)
Inequivalent atoms, fractional coordinates:
Rb  0.000  0.000  0.000 (multiplicity 2)
Rb  0.000  0.345  0.000 (multiplicity 4)
Pu  0.000  0.170  0.500 (multiplicity 4)
Hg  0.000  0.500  0.500 (multiplicity 2)
S  0.239  0.000  0.672 (multiplicity 4)
S  0.248  0.314  0.703 (multiplicity 8)

Properties
Crystal system: monoclinic



# 2
Computed, not measured: a relaxed structure of CeBeB2N4 at the GGA-PBE level of DFT.

Cell: 5.799 5.809 8.493 Å, 90.00 90.00 90.00°
Space group Fmm2 (No. 42)
Inequivalent atoms, fractional coordinates:
Ce  0.000  0.000  0.000 (multiplicity 4)
Be  0.000  0.000  0.501 (multiplicity 4)
B  0.250  0.250  0.251 (multiplicity 8)
N  0.000  0.208  0.346 (multiplicity 8)
N  0.208  0.000  0.656 (multiplicity 8)

Properties
Crystal system: orthorhombic



# 3
Computed, not measured: a relaxed structure of Sm4ZnSi at the GGA-PBE level of DFT.

Cell: 5.255 21.222 6.325 Å, 90.00 90.00 90.00°
Space group Cmcm (No. 63)
Inequivalent atoms, fractional coordinates:
Sm  0.000  0.061  0.250 (multiplicity 4)
Sm  0.000  0.205  0.006 (multiplicity 8)
Sm  0.000  0.384  0.250 (multiplicity 4)
Zn  0.000  0.075  0.750 (multiplicity 4)
Si  0.000  0.340  0.750 (multiplicity 4)

Properties
Crystal system: orthorhombic



| no. | total magnetization (μB/f.u.) | uncorrected formation energy (eV/atom) |
| --- | --- | --- |
| 1 | 9.00 | -1.20 |
| 2 | 0.00 | -0.52 |
| 3 | 0.00 | -0.11 |